Crystalline MnPdS2 at its relaxed geometry, computed with GGA-PBE.

abc: 4.243 4.243 4.243
angles: 60.00 60.00 60.00
Element x y z (fractional)
Mn 0.000 0.000 0.000
Pd 0.500 0.500 0.500
S 0.250 0.250 0.250
S 0.750 0.750 0.750

Calculated values
symmetry: Fm-3m, No. 225
uncorrected formation energy: 254 meV per atom

---

Crystalline SrCaAg at its relaxed geometry, computed with GGA-PBE.

abc: 7.414 7.414 7.758
angles: 105.32 105.32 30.13
Element x y z (fractional)
Sr 0.136 0.136 0.071
Sr 0.864 0.864 0.929
Ca 0.136 0.136 0.565
Ca 0.864 0.864 0.435
Ag 0.498 0.498 0.272
Ag 0.502 0.502 0.728

Calculated values
symmetry: C2/m, No. 12
DFT formation energy: -192 meV per atom
excess energy over the best structure of this formula in the dataset: 39 meV/atom

---

Crystalline IrOsW2 at its relaxed geometry, computed with GGA-PBE.

abc: 9.314 9.314 9.314
angles: 17.22 17.22 17.22
Element x y z (fractional)
Ir 0.000 0.000 0.000
Os 0.753 0.753 0.753
W 0.255 0.255 0.255
W 0.498 0.498 0.498

Calculated values
symmetry: R3m, No. 160
DFT formation energy: 109 meV per atom
excess energy over the best structure of this formula in the dataset: 229 meV/atom

---

Crystalline NaRh3O at its relaxed geometry, computed with GGA-PBE.

abc: 4.166 4.166 4.166
angles: 90.00 90.00 90.00
Element x y z (fractional)
Na 0.000 0.000 0.000
Rh 0.000 0.500 0.500
Rh 0.500 0.000 0.500
Rh 0.500 0.500 0.000
O 0.500 0.500 0.500

Calculated values
symmetry: Pm-3m, No. 221
uncorrected formation energy: 192 meV per atom
excess energy over the best structure of this formula in the dataset: 0 meV/atom

---

Crystalline PmPr3Nd4 at its relaxed geometry, computed with GGA-PBE.

abc: 10.445 7.376 7.373
angles: 90.00 90.00 90.00
Element x y z (fractional)
Pm 0.000 0.000 0.000
Pm 0.500 0.000 0.500
Pr 0.000 0.500 0.500
Pr 0.250 0.249 0.250
Pr 0.250 0.751 0.750
Pr 0.500 0.500 0.000
Pr 0.750 0.249 0.250
Pr 0.750 0.751 0.750
Nd 0.000 0.000 0.500
Nd 0.000 0.500 0.000
Nd 0.250 0.249 0.750
Nd 0.250 0.751 0.250
Nd 0.500 0.000 0.000
Nd 0.500 0.500 0.500
Nd 0.750 0.249 0.750
Nd 0.750 0.751 0.250

Calculated values
symmetry: Pmna, No. 53
DFT formation energy: 12 meV per atom
excess energy over the best structure of this formula in the dataset: 0 meV/atom

---

Crystalline Ba2ZrS3O at its relaxed geometry, computed with GGA-PBE.

abc: 8.837 8.837 8.837
angles: 152.45 146.51 43.90
Element x y z (fractional)
Ba 0.145 0.145 0.000
Ba 0.855 0.855 0.000
Zr 0.500 0.500 0.000
S 0.000 0.500 0.500
S 0.339 0.339 0.000
S 0.661 0.661 0.000
O 0.500 0.000 0.500

Calculated values
symmetry: Immm, No. 71
uncorrected formation energy: -2228 meV per atom

---

Crystalline LiTm3Sc2Te6 at its relaxed geometry, computed with GGA-PBE.

abc: 9.490 9.490 8.479
angles: 102.90 102.90 25.84
Element x y z (fractional)
Li 0.000 0.000 0.000
Tm 0.000 0.000 0.500
Tm 0.334 0.334 0.170
Tm 0.666 0.666 0.830
Sc 0.330 0.330 0.655
Sc 0.670 0.670 0.345
Te 0.164 0.164 0.090
Te 0.167 0.167 0.580
Te 0.496 0.496 0.757
Te 0.504 0.504 0.243
Te 0.833 0.833 0.420
Te 0.836 0.836 0.910

Calculated values
symmetry: C2/m, No. 12
uncorrected formation energy: -1196 meV per atom

---

Crystalline SrSc2CrMo at its relaxed geometry, computed with GGA-PBE.

abc: 5.044 5.044 5.692
angles: 90.00 90.00 90.00
Element x y z (fractional)
Sr 0.000 0.000 0.000
Sc 0.000 0.500 0.500
Sc 0.500 0.000 0.500
Cr 0.500 0.500 0.000
Mo 0.000 0.000 0.500

Calculated values
symmetry: P4/mmm, No. 123
DFT formation energy: 956 meV per atom

---

D(E_F) (states/eV/cell)
10.3; 5.9; 3.8; 6.3; 26.6; 0.0; 4.9; 6.4
Calculated volume (Å³ per cell)
54.0; 205.9; 61.8; 72.3; 568.1; 175.7; 323.9; 144.8